Record 1
A plane-wave DFT calculation with GGA-PBE was carried out for crystalline CePr6Ho2Er at its relaxed geometry.

Output
- E (eV per atom) = -4.601
- space group = C2/m, No. 12
- energy relative to the elements (eV per atom) = 0.232
- spin magnetization (Bohr magnetons per cell) = 1.2

The structure in POSCAR format:
```
CePr6Ho2Er
1.0
5.6460 -3.5746 0.0000
5.6460 3.5746 0.0000
-2.0190 0.0000 8.6496
Ce Pr Ho Er
1 6 2 1
direct
0.0000 0.0000 0.0000 Ce
0.0973 0.5616 0.2042 Pr
0.1280 0.1280 0.4193 Pr
0.4384 0.9027 0.7958 Pr
0.5616 0.0973 0.2042 Pr
0.8720 0.8720 0.5807 Pr
0.9027 0.4384 0.7958 Pr
0.4073 0.4073 0.8371 Ho
0.5927 0.5927 0.1629 Ho
0.5000 0.5000 0.5000 Er
```

Record 2
A plane-wave DFT calculation with GGA-PBE was carried out for crystalline RbSn2Pt2 at its relaxed geometry.

Output
- distance to the lowest polymorph of the same formula (kJ/mol of atoms) = 0.0
- E (eV per atom) = -4.661
- space group = P-1, No. 2
- energy relative to the elements (eV per atom) = -0.450
- spin magnetization (Bohr magnetons per cell) = 0.0

The structure in POSCAR format:
```
RbSn2Pt2
1.0
6.8909 0.0000 0.0000
-2.6771 6.3869 0.0000
-2.1801 -3.0782 6.7149
Rb Sn Pt
2 4 4
direct
0.1426 0.3932 0.2506 Rb
0.8574 0.6068 0.7494 Rb
0.1858 0.2305 0.7135 Sn
0.4825 0.0277 0.2120 Sn
0.5175 0.9723 0.7880 Sn
0.8142 0.7695 0.2865 Sn
0.2687 0.9710 0.4472 Pt
0.4733 0.6762 0.9470 Pt
0.5267 0.3238 0.0530 Pt
0.7313 0.0290 0.5528 Pt
```

Record 3
A plane-wave DFT calculation with GGA-PBE was carried out for crystalline ZnAgPt2 at its relaxed geometry.

Output
- E (eV per atom) = -4.273
- space group = Immm, No. 71
- energy relative to the elements (eV per atom) = -0.221
- spin magnetization (Bohr magnetons per cell) = 0.0

The structure in POSCAR format:
```
ZnAgPt2
1.0
-1.4390 2.3686 4.6243
1.4390 -2.3686 4.6243
1.4390 2.3686 -4.6243
Zn Ag Pt
1 1 2
direct
0.0000 0.0000 0.0000 Zn
0.5000 0.5000 0.0000 Ag
0.2332 0.7332 0.5000 Pt
0.7668 0.2668 0.5000 Pt
```